A plane-wave DFT calculation with PBE was carried out for a relaxed structure of La2Mg3Ag2.

## Properties
D(E_F) (states/eV per cell): 9.7
ΔE to the lowest computed polymorph (meV/atom): 0
ΔH_f (0 K) (meV per atom): -246
Total magnetization (μB per formula unit): 0.0

a b c (Å): 10.710 4.719 7.794
angles (deg): 90.00 113.47 90.00
Space group C2/m (No. 12)
Unique sites:
1 La 0.141 0.000 0.280 (multiplicity 4)
2 Mg 0.000 0.500 0.500 (multiplicity 2)
3 Mg 0.128 0.500 0.935 (multiplicity 4)
4 Ag 0.148 0.000 0.711 (multiplicity 4)